DFT (PBE) results for a geometry-optimized Tl2Ge2Br structure.

The structure in POSCAR format:
```
Tl2Ge2Br
1.0
8.1329 0.0000 0.0000
0.0000 8.1329 0.0000
0.0000 0.0000 4.1493
Tl Ge Br
4 4 2
Direct
0.1953 0.3047 0.0000
0.3047 0.8047 0.0000
0.6953 0.1953 0.0000
0.8047 0.6953 0.0000
0.1085 0.6085 0.5000
0.3915 0.1085 0.5000
0.6085 0.8915 0.5000
0.8915 0.3915 0.5000
0.0000 0.0000 0.5000
0.5000 0.5000 0.5000
```

## Properties
DFT total energy in eV/atom: -3.06
V in Å³/cell: 274
Space-group type: P4/mbm, No. 127
Formation energy (no corrections) in eV per atom: 0.064
Size of the total moment in μB/cell: 0.00